1.
A geometry-optimized HfTlSi2Ni structure, computed with GGA-PBEsol.

Cell: 4.5404 4.9105 4.9105 Å, 90.00 90.00 90.00°
With the nearest neighbours (Å) after each atom.
Sites, in units of the cell vectors:
Ni1 0.5000 0.0000 0.0000  2 Tl 2.27
Tl1 0.0000 0.0000 0.0000  2 Ni 2.27, 4 Si 2.46
Hf1 0.5000 0.5000 0.5000  8 Si 3.34, 4 Ni 3.47
Si1 0.0000 0.0000 0.5000  2 Tl 2.46
Si2 0.0000 0.5000 0.0000  2 Tl 2.46

* M_tot: 0.00 μB/cell
* electronic total energy: -23.98 eV for the cell shown
* formation energy (no corrections): 1.36 eV/atom



2.
A geometry-optimized CoTc structure, computed with GGA-PBEsol.

Cell: 3.8283 3.8283 4.9896 Å, 90.00 90.00 120.00°
With the nearest neighbours (Å) after each atom.
Sites, in units of the cell vectors:
Co1 0.6667 0.3333 0.0395  4 Tc 2.22-2.25
Co2 0.3333 0.6667 0.5395  4 Tc 2.22-2.25
Tc1 0.6667 0.3333 0.5895  4 Co 2.22-2.25
Tc2 0.3333 0.6667 0.0895  4 Co 2.22-2.25

* relative energy among the computed polymorphs: 1276 meV/atom
* formation enthalpy at 0 K: 1187 meV/atom
* M_tot: 0.00 μB/cell
* electronic total energy: -33.26 eV for the cell shown



3.
A geometry-optimized TaGaNi6 structure, computed with GGA-PBEsol.

Cell: 3.5827 3.5827 7.1051 Å, 90.00 90.00 90.00°
With the nearest neighbours (Å) after each atom.
Sites, in units of the cell vectors:
Ta1 0.0000 0.0000 0.5000  12 Ni 2.53-2.54
Ga1 0.0000 0.0000 0.0000  12 Ni 2.51-2.53
Ni1 0.5000 0.5000 0.0000  8 Ni 2.51, 4 Ga 2.53
Ni2 0.5000 0.5000 0.5000  4 Ta 2.53, 8 Ni 2.54
Ni3 0.5000 0.0000 0.2470  8 Ni 2.51-2.54, 2 Ga 2.51, 2 Ta 2.54
Ni4 0.5000 0.0000 0.7530  8 Ni 2.51-2.54, 2 Ga 2.51, 2 Ta 2.54
Ni5 0.0000 0.5000 0.2470  8 Ni 2.51-2.54, 2 Ga 2.51, 2 Ta 2.54
Ni6 0.0000 0.5000 0.7530  2 Ga 2.51, 8 Ni 2.51-2.54, 2 Ta 2.54

* formation enthalpy at 0 K: -398 meV/atom
* M_tot: 0.00 μB/cell
* electronic total energy: -56.02 eV for the cell shown